Computed, not measured: a relaxed VNi3Ir3 crystal at the GGA-PBE level of DFT.

abc: 6.8786 7.2936 8.7202
angles: 104.25 112.93 101.57
Closest atoms and distances in Å follow each position.
Space group P1 (No. 1)
Unique sites:
1 V 0.0000 0.0000 0.0000 x1  7 Ir 2.54-2.78, 4 Ni 2.72-2.78
2 V 0.0916 0.4006 0.2247 x1  3 Ni 2.41-2.54, 4 Ir 2.41-2.61
3 V 0.2660 0.5199 0.8309 x1  3 Ir 2.37-2.53, 4 Ni 2.45-2.64
4 V 0.6311 0.9364 0.3543 x1  6 Ni 2.51-2.73, 5 Ir 2.58-2.67
5 Ni 0.0799 0.9008 0.7140 x1  6 Ir 2.43-2.72, 3 Ni 2.43-2.54
6 Ni 0.2823 0.0131 0.3361 x1  3 Ir 2.41-2.56, 4 Ni 2.42-2.55, 1 V 2.53
7 Ni 0.3240 0.2370 0.9313 x1  5 Ni 2.45-2.68, 1 V 2.48, 4 Ir 2.48-2.62
8 Ni 0.3272 0.7338 0.4333 x1  1 V 2.41, 3 Ni 2.42-2.62, 4 Ir 2.47-2.64
9 Ni 0.3707 0.5891 0.1466 x1  3 V 2.45-2.54, 5 Ir 2.53-2.68, 3 Ni 2.62-2.65
10 Ni 0.3725 0.0950 0.6509 x1  7 Ni 2.45-2.72, 4 Ir 2.56-2.70
11 Ni 0.6314 0.4353 0.8608 x1  5 Ni 2.48-2.68, 5 Ir 2.56-2.70, 1 V 2.64
12 Ni 0.6620 0.2755 0.5638 x1  5 Ir 2.52-2.65, 5 Ni 2.55-2.82, 1 V 2.60
13 Ni 0.6782 0.7818 0.0576 x1  6 Ir 2.53-2.79, 3 Ni 2.56-2.80, 3 V 2.68-2.74
14 Ni 0.9760 0.3315 0.9039 x1  3 V 2.47-2.76, 5 Ir 2.50-2.70, 3 Ni 2.55-2.63
15 Ni 0.9855 0.8275 0.4017 x1  4 Ni 2.43-2.63, 5 Ir 2.51-2.71, 1 V 2.63
16 Ni 0.9892 0.4984 0.5003 x1  7 Ir 2.52-2.76, 2 V 2.71-2.73, 2 Ni 2.74-2.82
17 Ir 0.0200 0.1847 0.6166 x1  2 V 2.44-2.63, 6 Ni 2.47-2.71, 2 Ir 2.55-2.66
18 Ir 0.0229 0.6781 0.1158 x1  7 Ni 2.47-2.61, 1 V 2.49, 2 Ir 2.57-2.64
19 Ir 0.3451 0.4094 0.5416 x1  5 Ni 2.52-2.76, 2 V 2.61-2.75, 3 Ir 2.70-2.78
20 Ir 0.3466 0.9027 0.0407 x1  3 V 2.54-2.74, 5 Ni 2.57-2.84, 4 Ir 2.71-2.82
21 Ir 0.4027 0.7812 0.7445 x1  1 V 2.37, 4 Ni 2.47-2.65, 2 Ir 2.62-2.65
22 Ir 0.4133 0.2783 0.2449 x1  4 Ni 2.41-2.65, 1 V 2.51, 2 Ir 2.60-2.63
23 Ir 0.6730 0.6357 0.4715 x1  5 Ni 2.52-2.69, 4 Ir 2.60-2.66, 1 V 2.66
24 Ir 0.6754 0.1331 0.9843 x1  2 V 2.58-2.73, 5 Ni 2.58-2.79, 5 Ir 2.62-2.82
25 Ir 0.7151 0.4877 0.1841 x1  6 Ni 2.51-2.65, 4 Ir 2.62-2.64, 1 V 2.70
26 Ir 0.7207 0.9856 0.6914 x1  5 Ni 2.50-2.65, 2 V 2.59-2.67, 4 Ir 2.65-2.68
27 Ir 0.9259 0.6267 0.7892 x1  5 Ni 2.43-2.70, 2 V 2.53-2.70, 2 Ir 2.57-2.66
28 Ir 0.9390 0.1226 0.2941 x1  2 V 2.41-2.58, 3 Ni 2.54-2.58, 2 Ir 2.55-2.63

Results
M_tot, μB per cell: 0.000
E_form, eV per atom: -0.061